1.
DFT (PBE-GGA) results for HoZrTl2 after structural relaxation.

DOS at the Fermi energy in states/eV/f.u.: 4.2
Formation energy from the elements in eV per atom: -0.065
Energy in eV per atom: -4.53

Cell: 10.177 10.177 10.177 Å, 19.67 19.67 19.67°
Fractional positions:
Ho  0.000  0.000  0.000
Zr  0.500  0.500  0.500
Tl  0.248  0.248  0.248
Tl  0.752  0.752  0.752

=====

2.
DFT (PBE-GGA) results for Ho7ZrTl4 after structural relaxation.

DOS at the Fermi energy in states/eV/f.u.: 13.6
Formation energy from the elements in eV per atom: 0.015
Energy in eV per atom: -4.16

Cell: 7.923 7.923 9.615 Å, 118.97 118.97 42.30°
Fractional positions:
Ho  0.000  0.000  0.000
Ho  0.251  0.251  0.709
Ho  0.301  0.301  0.118
Ho  0.433  0.433  0.602
Ho  0.567  0.567  0.398
Ho  0.699  0.699  0.882
Ho  0.749  0.749  0.291
Zr  0.500  0.500  0.000
Tl  0.049  0.049  0.708
Tl  0.187  0.187  0.343
Tl  0.813  0.813  0.657
Tl  0.951  0.951  0.292

=====

Look up the DOS at the Fermi energy of the second one.
13.6 states/eV/f.u.

=====

Number 1 is which compound?
HoZrTl2

=====

Which formula does entry 2 have?
Ho7ZrTl4

=====

DOS at the Fermi energy of number 1 (HoZrTl2)?
4.2 states/eV/f.u.